1.
# LiCo2HRh | the Alexandria database | PBE-GGA | optimized geometry
data_LiCo2HRh
_symmetry_space_group_name_H-M 'P 1'
_symmetry_Int_Tables_number 1
_cell_length_a 3.5804
_cell_length_b 3.5804
_cell_length_c 3.8396
_cell_angle_alpha 90.00
_cell_angle_beta 90.00
_cell_angle_gamma 90.00
loop_
_symmetry_equiv_pos_as_xyz
'x,y,z'
loop_
_atom_site_label
_atom_site_type_symbol
_atom_site_fract_x
_atom_site_fract_y
_atom_site_fract_z
Co1 Co 0.0000 0.5000 0.0000
Co2 Co 0.5000 0.0000 0.0000
Rh1 Rh 0.5000 0.5000 0.5000
H1 H 0.0000 0.0000 0.0000
Li1 Li 0.0000 0.0000 0.5000
# total energy	-5.2963	eV/atom
# space-group type	No. 123

---

2.
# NdPuRh | the Alexandria database | PBE-GGA | optimized geometry
data_NdPuRh
_symmetry_space_group_name_H-M 'P 1'
_symmetry_Int_Tables_number 1
_cell_length_a 4.1445
_cell_length_b 8.8502
_cell_length_c 8.1329
_cell_angle_alpha 90.00
_cell_angle_beta 90.00
_cell_angle_gamma 90.00
loop_
_symmetry_equiv_pos_as_xyz
'x,y,z'
loop_
_atom_site_label
_atom_site_type_symbol
_atom_site_fract_x
_atom_site_fract_y
_atom_site_fract_z
Rh1 Rh 0.7500 0.1345 0.2530
Rh2 Rh 0.2500 0.6345 0.2470
Rh3 Rh 0.7500 0.3655 0.7530
Rh4 Rh 0.2500 0.8655 0.7470
Nd1 Nd 0.7500 0.8288 0.0295
Nd2 Nd 0.2500 0.1712 0.9705
Nd3 Nd 0.7500 0.6712 0.5295
Nd4 Nd 0.2500 0.3288 0.4705
Pu1 Pu 0.7500 0.0571 0.6443
Pu2 Pu 0.7500 0.4429 0.1443
Pu3 Pu 0.2500 0.9429 0.3557
Pu4 Pu 0.2500 0.5571 0.8557
# energy of formation	-1.3	eV per formula unit
# energy above the most stable polymorph in this dataset	5	meV/atom
# space-group type	No. 62

---

3.
# YCd2C | the Alexandria database | PBE-GGA | optimized geometry
data_YCd2C
_symmetry_space_group_name_H-M 'P 1'
_symmetry_Int_Tables_number 1
_cell_length_a 8.1663
_cell_length_b 8.1663
_cell_length_c 6.2802
_cell_angle_alpha 49.45
_cell_angle_beta 49.45
_cell_angle_gamma 90.00
loop_
_symmetry_equiv_pos_as_xyz
'x,y,z'
loop_
_atom_site_label
_atom_site_type_symbol
_atom_site_fract_x
_atom_site_fract_y
_atom_site_fract_z
Y1 Y 0.0000 0.0000 0.0000
Y2 Y 0.7500 0.2500 0.5000
C1 C 0.5000 0.5000 0.0000
C2 C 0.2500 0.7500 0.5000
Cd1 Cd 0.5360 0.1250 0.2500
Cd2 Cd 0.2140 0.6250 0.2500
Cd3 Cd 0.3750 0.4640 0.7500
Cd4 Cd 0.8750 0.7860 0.7500
# energy of formation	1.7	eV per formula unit
# space-group type	No. 122

---

4.
# Sc2MnTc | the Alexandria database | PBE-GGA | optimized geometry
data_Sc2MnTc
_symmetry_space_group_name_H-M 'P 1'
_symmetry_Int_Tables_number 1
_cell_length_a 2.9695
_cell_length_b 2.9695
_cell_length_c 8.6032
_cell_angle_alpha 90.00
_cell_angle_beta 90.00
_cell_angle_gamma 110.99
loop_
_symmetry_equiv_pos_as_xyz
'x,y,z'
loop_
_atom_site_label
_atom_site_type_symbol
_atom_site_fract_x
_atom_site_fract_y
_atom_site_fract_z
Mn1 Mn 0.5000 0.5000 0.7500
Sc1 Sc 0.0000 0.0000 0.0101
Sc2 Sc 0.0000 0.0000 0.4899
Tc1 Tc 0.5000 0.5000 0.2500
# energy of formation	0.4	eV per formula unit
# space-group type	No. 65

---

5.
# K2MnSn | the Alexandria database | PBE-GGA | optimized geometry
data_K2MnSn
_symmetry_space_group_name_H-M 'P 1'
_symmetry_Int_Tables_number 1
_cell_length_a 6.2507
_cell_length_b 6.9611
_cell_length_c 6.9717
_cell_angle_alpha 102.75
_cell_angle_beta 90.00
_cell_angle_gamma 90.00
loop_
_symmetry_equiv_pos_as_xyz
'x,y,z'
loop_
_atom_site_label
_atom_site_type_symbol
_atom_site_fract_x
_atom_site_fract_y
_atom_site_fract_z
K1 K 0.2500 0.3052 0.9754
K2 K 0.7500 0.0253 0.6947
K3 K 0.2500 0.9644 0.3170
K4 K 0.7500 0.6834 0.0351
Mn1 Mn 0.9987 0.4968 0.5038
Mn2 Mn 0.5013 0.4968 0.5038
Sn1 Sn 0.2500 0.7467 0.7590
Sn2 Sn 0.7500 0.2405 0.2524
# energy of formation	0.7	eV per formula unit
# space-group type	No. 6

---

6.
# TbAl4In | the Alexandria database | PBE-GGA | optimized geometry
data_TbAl4In
_symmetry_space_group_name_H-M 'P 1'
_symmetry_Int_Tables_number 1
_cell_length_a 5.5751
_cell_length_b 5.5751
_cell_length_c 5.5751
_cell_angle_alpha 60.00
_cell_angle_beta 60.00
_cell_angle_gamma 60.00
loop_
_symmetry_equiv_pos_as_xyz
'x,y,z'
loop_
_atom_site_label
_atom_site_type_symbol
_atom_site_fract_x
_atom_site_fract_y
_atom_site_fract_z
Tb1 Tb 0.2500 0.2500 0.2500
Al1 Al 0.6245 0.6245 0.1266
Al2 Al 0.6245 0.1266 0.6245
Al3 Al 0.6245 0.6245 0.6245
Al4 Al 0.1266 0.6245 0.6245
In1 In 0.0000 0.0000 0.0000
# energy of formation	-1.1	eV per formula unit
# space-group type	No. 216

---

7.
# Tb2PrSmY6 | the Alexandria database | PBE-GGA | optimized geometry
data_Tb2PrSmY6
_symmetry_space_group_name_H-M 'P 1'
_symmetry_Int_Tables_number 1
_cell_length_a 9.7792
_cell_length_b 8.8030
_cell_length_c 8.8030
_cell_angle_alpha 117.31
_cell_angle_beta 94.74
_cell_angle_gamma 94.74
loop_
_symmetry_equiv_pos_as_xyz
'x,y,z'
loop_
_atom_site_label
_atom_site_type_symbol
_atom_site_fract_x
_atom_site_fract_y
_atom_site_fract_z
Tb1 Tb 0.4544 0.8085 0.7091
Tb2 Tb 0.0456 0.2909 0.1915
Tb3 Tb 0.5456 0.1915 0.2909
Tb4 Tb 0.9544 0.7091 0.8085
Pr1 Pr 0.2500 0.4056 0.5944
Pr2 Pr 0.7500 0.5944 0.4056
Sm1 Sm 0.2500 0.9776 0.0224
Sm2 Sm 0.7500 0.0224 0.9776
Y1 Y 0.0566 0.1184 0.7477
Y2 Y 0.4434 0.2523 0.8816
Y3 Y 0.9434 0.8816 0.2523
Y4 Y 0.5566 0.7477 0.1184
Y5 Y 0.3188 0.9761 0.4267
Y6 Y 0.1812 0.5733 0.0239
Y7 Y 0.6812 0.0239 0.5733
Y8 Y 0.8188 0.4267 0.9761
Y9 Y 0.1192 0.7039 0.4937
Y10 Y 0.3808 0.5063 0.2961
Y11 Y 0.8808 0.2961 0.5063
Y12 Y 0.6192 0.4937 0.7039
# energy of formation	1.2	eV per formula unit
# space-group type	No. 15

---

8.
# BC2 | the Alexandria database | PBE-GGA | optimized geometry
data_BC2
_symmetry_space_group_name_H-M 'P 1'
_symmetry_Int_Tables_number 1
_cell_length_a 2.4946
_cell_length_b 2.4946
_cell_length_c 11.1956
_cell_angle_alpha 90.00
_cell_angle_beta 90.00
_cell_angle_gamma 120.00
loop_
_symmetry_equiv_pos_as_xyz
'x,y,z'
loop_
_atom_site_label
_atom_site_type_symbol
_atom_site_fract_x
_atom_site_fract_y
_atom_site_fract_z
C1 C 0.0000 0.0000 0.1430
C2 C 0.0000 0.0000 0.8570
C3 C 0.3333 0.6667 0.8096
C4 C 0.3333 0.6667 0.5237
C5 C 0.6667 0.3333 0.4763
C6 C 0.6667 0.3333 0.1904
B1 B 0.0000 0.0000 0.0000
B2 B 0.3333 0.6667 0.6667
B3 B 0.6667 0.3333 0.3333
# energy of formation	1.9	eV per formula unit
# energy above the most stable polymorph in this dataset	382	meV/atom
# space-group type	No. 166

---

9.
# TmPuC | the Alexandria database | PBE-GGA | optimized geometry
data_TmPuC
_symmetry_space_group_name_H-M 'P 1'
_symmetry_Int_Tables_number 1
_cell_length_a 6.2116
_cell_length_b 3.4396
_cell_length_c 3.4396
_cell_angle_alpha 120.00
_cell_angle_beta 90.00
_cell_angle_gamma 90.00
loop_
_symmetry_equiv_pos_as_xyz
'x,y,z'
loop_
_atom_site_label
_atom_site_type_symbol
_atom_site_fract_x
_atom_site_fract_y
_atom_site_fract_z
C1 C 0.3318 0.6667 0.3333
Tm1 Tm 0.1094 0.0000 0.0000
Pu1 Pu 0.5587 0.3333 0.6667
# energy of formation	-0.4	eV per formula unit
# energy above the most stable polymorph in this dataset	0	meV/atom
# space-group type	No. 156

---

10.
# Rb2LiCaI6 | the Alexandria database | PBE-GGA | optimized geometry
data_Rb2LiCaI6
_symmetry_space_group_name_H-M 'P 1'
_symmetry_Int_Tables_number 1
_cell_length_a 8.5000
_cell_length_b 8.5000
_cell_length_c 8.5010
_cell_angle_alpha 60.00
_cell_angle_beta 60.00
_cell_angle_gamma 90.00
loop_
_symmetry_equiv_pos_as_xyz
'x,y,z'
loop_
_atom_site_label
_atom_site_type_symbol
_atom_site_fract_x
_atom_site_fract_y
_atom_site_fract_z
I1 I 0.2566 0.2566 0.4868
I2 I 0.7434 0.7434 0.5132
I3 I 0.2566 0.2566 0.0000
I4 I 0.7434 0.7434 0.0000
I5 I 0.7434 0.2566 0.0000
I6 I 0.2566 0.7434 0.0000
Ca1 Ca 0.0000 0.0000 0.0000
Rb1 Rb 0.7500 0.2500 0.5000
Rb2 Rb 0.2500 0.7500 0.5000
Li1 Li 0.5000 0.5000 0.0000
# formation energy (no corrections)	-1.230	eV/atom
# space-group type	No. 225

---

11.
# NaPrIn4 | the Alexandria database | PBE-GGA | optimized geometry
data_NaPrIn4
_symmetry_space_group_name_H-M 'P 1'
_symmetry_Int_Tables_number 1
_cell_length_a 6.1454
_cell_length_b 6.1454
_cell_length_c 6.1454
_cell_angle_alpha 60.00
_cell_angle_beta 60.00
_cell_angle_gamma 60.00
loop_
_symmetry_equiv_pos_as_xyz
'x,y,z'
loop_
_atom_site_label
_atom_site_type_symbol
_atom_site_fract_x
_atom_site_fract_y
_atom_site_fract_z
Pr1 Pr 0.0000 0.0000 0.0000
Na1 Na 0.2500 0.2500 0.2500
In1 In 0.6252 0.6252 0.1244
In2 In 0.6252 0.1244 0.6252
In3 In 0.6252 0.6252 0.6252
In4 In 0.1244 0.6252 0.6252
# energy of formation	-1.4	eV per formula unit
# space-group type	No. 216

---

12.
# ErBe4Cr | the Alexandria database | PBE-GGA | optimized geometry
data_ErBe4Cr
_symmetry_space_group_name_H-M 'P 1'
_symmetry_Int_Tables_number 1
_cell_length_a 4.6849
_cell_length_b 4.6849
_cell_length_c 4.6849
_cell_angle_alpha 60.00
_cell_angle_beta 60.00
_cell_angle_gamma 60.00
loop_
_symmetry_equiv_pos_as_xyz
'x,y,z'
loop_
_atom_site_label
_atom_site_type_symbol
_atom_site_fract_x
_atom_site_fract_y
_atom_site_fract_z
Cr1 Cr 0.0000 0.0000 0.0000
Be1 Be 0.6274 0.6274 0.1177
Be2 Be 0.6274 0.1177 0.6274
Be3 Be 0.6274 0.6274 0.6274
Be4 Be 0.1177 0.6274 0.6274
Er1 Er 0.2500 0.2500 0.2500
# energy of formation	0.0	eV per formula unit
# space-group type	No. 216

---

13.
# Tm3ZrIr2 | the Alexandria database | PBE-GGA | optimized geometry
data_Tm3ZrIr2
_symmetry_space_group_name_H-M 'P 1'
_symmetry_Int_Tables_number 1
_cell_length_a 6.6395
_cell_length_b 6.8900
_cell_length_c 8.1436
_cell_angle_alpha 115.03
_cell_angle_beta 114.06
_cell_angle_gamma 90.00
loop_
_symmetry_equiv_pos_as_xyz
'x,y,z'
loop_
_atom_site_label
_atom_site_type_symbol
_atom_site_fract_x
_atom_site_fract_y
_atom_site_fract_z
Tm1 Tm 0.5000 0.2500 0.0000
Tm2 Tm 0.5000 0.7500 0.0000
Tm3 Tm 0.7704 0.0204 0.5408
Tm4 Tm 0.2296 0.4796 0.4592
Tm5 Tm 0.2296 0.9796 0.4592
Tm6 Tm 0.7704 0.5204 0.5408
Zr1 Zr 0.0000 0.5000 0.0000
Zr2 Zr 0.0000 0.0000 0.0000
Ir1 Ir 0.5781 0.3633 0.7266
Ir2 Ir 0.8515 0.1367 0.2734
Ir3 Ir 0.1485 0.8633 0.7266
Ir4 Ir 0.4219 0.6367 0.2734
# energy of formation	-3.5	eV per formula unit
# space-group type	No. 72